Entry from the Alexandria database: a relaxed structure of Hf3ScHg (PBE-GGA).

abc: 5.0092 5.0092 5.0092
angles: 90.00 90.00 90.00
Space group Pm-3m (No. 221)
Symmetry-distinct sites (fractional):
Hf  0.0000  0.0000  0.5000 [3 per cell]
Sc  0.0000  0.0000  0.0000 [1 per cell]
Hg  0.5000  0.5000  0.5000 [1 per cell]

Output
Energy of formation from the pure elements (eV per atom): 1.2378
DOS(E_F) (states/eV per atom): 1.433
Polymorph energy (0 for the lowest one) (meV/atom): 197



Entry from the Alexandria database: a relaxed structure of SrBe2Ni2 (PBE-GGA).

abc: 7.1005 7.1005 2.7152
angles: 90.00 90.00 90.00
Space group P4/mbm (No. 127)
Symmetry-distinct sites (fractional):
Sr  0.0000  0.0000  0.0000 [2 per cell]
Be  0.1190  0.3810  0.5000 [4 per cell]
Ni  0.1412  0.6412  0.0000 [4 per cell]

Output
Energy of formation from the pure elements (eV per atom): 0.1353
DOS(E_F) (states/eV per atom): 0.433
Polymorph energy (0 for the lowest one) (meV/atom): 123



Entry from the Alexandria database: a relaxed structure of La6PmMg5 (PBE-GGA).

abc: 5.6480 7.9682 8.9793
angles: 90.00 108.30 90.00
Space group P2/m (No. 10)
Symmetry-distinct sites (fractional):
La  0.0000  0.2360  0.0000 [2 per cell]
La  0.3310  0.2455  0.6585 [4 per cell]
Pm  0.5000  0.5000  0.0000 [1 per cell]
Mg  0.1599  0.5000  0.3234 [2 per cell]
Mg  0.1648  0.0000  0.3343 [2 per cell]
Mg  0.5000  0.0000  0.0000 [1 per cell]

Output
Energy of formation from the pure elements (eV per atom): -0.0629
DOS(E_F) (states/eV per atom): 1.257



Entry from the Alexandria database: a relaxed structure of ScPPtS2 (PBE-GGA).

abc: 4.8064 4.8064 4.5197
angles: 90.00 90.00 90.00
Space group P4/mmm (No. 123)
Symmetry-distinct sites (fractional):
Sc  0.0000  0.0000  0.0000 [1 per cell]
P  0.5000  0.5000  0.0000 [1 per cell]
Pt  0.5000  0.5000  0.5000 [1 per cell]
S  0.0000  0.5000  0.5000 [2 per cell]

Output
DOS(E_F) (states/eV per atom): 0.733
Polymorph energy (0 for the lowest one) (meV/atom): 0



Entry from the Alexandria database: a relaxed structure of YAgS2 (PBE-GGA).

abc: 6.9860 4.0199 6.6459
angles: 90.00 111.74 90.00
Space group C2/m (No. 12)
Symmetry-distinct sites (fractional):
Y  0.0000  0.0000  0.0000 [2 per cell]
Ag  0.0000  0.5000  0.5000 [2 per cell]
S  0.2483  0.0000  0.7595 [4 per cell]

Output
VASP energy (eV per atom): -5.675
DOS(E_F) (states/eV per atom): 0.000



Entry from the Alexandria database: a relaxed structure of LiAsN2O (PBE-GGA).

abc: 3.8352 3.8352 3.5420
angles: 90.00 90.00 90.00
Space group P4/mmm (No. 123)
Symmetry-distinct sites (fractional):
Li  0.0000  0.0000  0.0000 [1 per cell]
As  0.5000  0.5000  0.5000 [1 per cell]
N  0.0000  0.5000  0.0000 [2 per cell]
O  0.0000  0.0000  0.5000 [1 per cell]

Output
VASP energy (eV per atom): -4.223
DOS(E_F) (states/eV per atom): 0.402



Entry from the Alexandria database: a relaxed structure of LiPmPPd (PBE-GGA).

abc: 6.5498 6.5498 6.5498
angles: 90.00 90.00 90.00
Space group F-43m (No. 216)
Symmetry-distinct sites (fractional):
Li  0.0000  0.0000  0.0000 [4 per cell]
Pm  0.2500  0.2500  0.7500 [4 per cell]
P  0.2500  0.2500  0.2500 [4 per cell]
Pd  0.0000  0.0000  0.5000 [4 per cell]

Output
Energy of formation from the pure elements (eV per atom): -0.5794
DOS(E_F) (states/eV per atom): 0.518



Entry from the Alexandria database: a relaxed structure of TlPtC3 (PBE-GGA).

abc: 4.1386 4.1386 4.1386
angles: 90.00 90.00 90.00
Space group Pm-3m (No. 221)
Symmetry-distinct sites (fractional):
Tl  0.0000  0.0000  0.0000 [1 per cell]
Pt  0.5000  0.5000  0.5000 [1 per cell]
C  0.0000  0.5000  0.5000 [3 per cell]

Output
Energy of formation from the pure elements (eV per atom): 2.3825
DOS(E_F) (states/eV per atom): 0.666
Polymorph energy (0 for the lowest one) (meV/atom): 0